# 1
LiReH2O GGA-PBEsol optimized geometry; D(E_F) = 1.8 states/eV/cell; raw total energy = -4.62 eV/atom
1.0
-1.0222 -1.1831 2.9022
2.9278 0.7286 1.3282
-1.8612 4.9760 1.3730
H O Re Li
2 1 1 1
direct
0.5000 0.0000 0.0000 H
0.0000 0.5000 0.0000 H
0.5000 0.5000 0.5000 O
0.0000 0.0000 0.0000 Re
0.0000 0.0000 0.5000 Li

---

# 2
Li2H2SO5 GGA-PBEsol optimized geometry; D(E_F) = 0.0 states/eV/cell; raw total energy = -5.79 eV/atom
1.0
-0.8107 -3.6091 -2.9997
0.4576 -3.5372 4.1322
-7.8507 2.1163 -0.4246
H O S Li
4 10 2 4
direct
0.8705 0.9764 0.3193 H
0.1207 0.0090 0.4613 H
0.3705 0.0236 0.6807 H
0.6207 0.9910 0.5387 H
0.6185 0.4366 0.3797 O
0.1185 0.5634 0.6203 O
0.0906 0.9814 0.8259 O
0.1302 0.6036 0.9246 O
0.9418 0.9191 0.4166 O
0.1985 0.3182 0.2090 O
0.5906 0.0186 0.1741 O
0.6302 0.3964 0.0754 O
0.6985 0.6818 0.7910 O
0.4418 0.0809 0.5834 O
0.5089 0.2900 0.2087 S
0.0089 0.7100 0.7913 S
0.0089 0.3023 0.9915 Li
0.4965 0.4372 0.6051 Li
0.9965 0.5628 0.3949 Li
0.5089 0.6977 0.0085 Li

---

Which formula does entry 2 have? Li2H2SO5